This record from Alexandria describes crystalline CrSb2 at its relaxed geometry. The functional is PBE.

The energy relative to the elements, uncorrected comes out at 0.6 eV/f.u.

The space group is Immm (No. 71) and the conventional cell measures 3.134, 3.755 and 12.166 Å, with angles of 90.00, 90.00 and 90.00 degrees. Symmetry generates all atoms from Cr at (0.000, 0.000, 0.000) and Sb at (0.000, 0.000, 0.371).